Below is Dy3YEr2Bi2Os after structural relaxation, with properties calculated at the PBE level.

Results
Its total energy is -53.72 eV/cell. As for the space group: Amm2. As for the crystal system: orthorhombic.

a b c (Å): 4.2374 8.2809 8.2809
angles (deg): 120.11 90.00 90.00
Closest atoms and distances in Å follow each position.
Fractional coordinates of all 9 atoms:
Dy  0.0000  0.0000  0.0000  1 Os 3.16, 4 Bi 3.34, 4 Er 3.50
Dy  0.0000  0.3853  0.7735  1 Os 3.23, 4 Bi 3.32-3.33, 2 Er 3.51, 2 Y 3.52
Dy  0.0000  0.7735  0.3853  1 Os 3.23, 4 Bi 3.32-3.33, 2 Er 3.51, 2 Y 3.52
Y  0.5000  0.6210  0.6210  2 Os 2.89
Er  0.5000  0.1533  0.3859  2 Os 2.85
Er  0.5000  0.3859  0.1533  2 Os 2.85
Bi  0.5000  0.0538  0.7194  2 Er 3.25, 1 Y 3.25, 6 Dy 3.32-3.34
Bi  0.5000  0.7194  0.0538  2 Er 3.25, 1 Y 3.25, 6 Dy 3.32-3.34
Os  0.0000  0.3826  0.3826  4 Er 2.85, 2 Y 2.89, 1 Dy 3.16